No. 1
The following is a PBE calculation of a relaxed structure of Pr2GaBr, from Alexandria via LeMat-Bulk.

Summary:
SG: No. 160
Formation energy from raw total energies, eV/atom: -0.8722

Lattice parameters (Å, degrees): 3.8945 3.8945 9.0225 77.54 77.54 60.00
Closest atoms and distances in Å follow each position.
Atoms (fractional coordinates):
Pr1 0.2554 0.2554 0.2337  3 Ga 3.04, 3 Br 3.25
Pr2 0.0783 0.0783 0.7650  3 Ga 3.04, 3 Br 3.21
Br1 0.4992 0.4992 0.5025  6 Pr 3.21-3.25
Ga1 0.6671 0.6671 0.9988  6 Pr 3.04

***

No. 2
The following is a PBE calculation of a relaxed structure of Pr2GaBr, from Alexandria via LeMat-Bulk.

Summary:
SG: No. 123
Formation energy from raw total energies, eV/atom: -0.8604

Lattice parameters (Å, degrees): 3.5671 3.5671 8.4098 90.00 90.00 90.00
Closest atoms and distances in Å follow each position.
Atoms (fractional coordinates):
Ga1 0.5000 0.5000 0.0000  8 Pr 3.17
Br1 0.5000 0.5000 0.5000  8 Pr 3.40, 4 Br 3.57
Pr1 0.0000 0.0000 0.2286  4 Ga 3.17, 4 Br 3.40
Pr2 0.0000 0.0000 0.7714  4 Ga 3.17, 4 Br 3.40

***

Ordered total magnetization results: 0.000, 0.000; unit μB per formula unit.